Entry 1:
This record from Alexandria via LeMat-Bulk describes crystalline KYIn2Rh at its relaxed geometry. The functional is PBE.

Output
ΔE_f = 0.995 eV per atom
Magnetic moment = 0.00 μB per formula unit
Calculated total energy = -3.083 eV/atom
Density of states at the Fermi level = 1.23 states/eV/atom

Cell: 5.566 5.566 4.749 Å, 90.00 90.00 90.00°
Space group P4/mmm (No. 123)
Symmetry-distinct sites (fractional):
K  0.000  0.000  0.000 (multiplicity 1)
Y  0.500  0.500  0.500 (multiplicity 1)
In  0.000  0.500  0.000 (multiplicity 2)
Rh  0.000  0.000  0.500 (multiplicity 1)

=====

Entry 2:
This record from Alexandria via LeMat-Bulk describes crystalline KZn2InRh at its relaxed geometry. The functional is PBE.

Output
ΔE_f = -0.185 eV per atom
Magnetic moment = 0.00 μB per formula unit
Calculated total energy = -2.932 eV/atom
Density of states at the Fermi level = 0.31 states/eV/atom

Cell: 4.974 4.974 5.115 Å, 90.00 90.00 90.00°
Space group P4/mmm (No. 123)
Symmetry-distinct sites (fractional):
K  0.000  0.000  0.000 (multiplicity 1)
Zn  0.000  0.500  0.500 (multiplicity 2)
In  0.500  0.500  0.000 (multiplicity 1)
Rh  0.500  0.500  0.500 (multiplicity 1)

=====

Entry 3:
This record from Alexandria via LeMat-Bulk describes crystalline K2In2Ru at its relaxed geometry. The functional is PBE.

Output
ΔE_f = 0.274 eV per atom
Relative energy among the computed polymorphs = 0 meV per atom
Magnetic moment = 0.00 μB per formula unit
Calculated total energy = -3.115 eV/atom
Density of states at the Fermi level = 0.52 states/eV/atom

Cell: 7.237 7.237 6.211 Å, 90.00 90.00 90.00°
Space group P4/mbm (No. 127)
Symmetry-distinct sites (fractional):
K  0.172  0.328  0.000 (multiplicity 4)
In  0.194  0.694  0.500 (multiplicity 4)
Ru  0.000  0.000  0.500 (multiplicity 2)

=====

Entry 4:
This record from Alexandria via LeMat-Bulk describes crystalline KInRu2 at its relaxed geometry. The functional is PBE.

Output
ΔE_f = 0.705 eV per atom
Magnetic moment = 1.82 μB per formula unit
Calculated total energy = -4.892 eV/atom
Density of states at the Fermi level = 0.93 states/eV/atom

Cell: 2.908 4.399 7.165 Å, 90.00 90.00 90.00°
Space group Pmmm (No. 47)
Symmetry-distinct sites (fractional):
K  0.000  0.000  0.000 (multiplicity 1)
In  0.000  0.000  0.500 (multiplicity 1)
Ru  0.500  0.500  0.338 (multiplicity 2)

=====

Entry 5:
This record from Alexandria via LeMat-Bulk describes crystalline K2In2Ru at its relaxed geometry. The functional is PBE.

Output
ΔE_f = 0.868 eV per atom
Relative energy among the computed polymorphs = 593 meV per atom
Magnetic moment = 2.57 μB per formula unit
Calculated total energy = -2.522 eV/atom
Density of states at the Fermi level = 1.28 states/eV/atom

Cell: 4.131 4.131 21.700 Å, 90.00 90.00 90.00°
Space group I4/mmm (No. 139)
Symmetry-distinct sites (fractional):
K  0.000  0.000  0.094 (multiplicity 4)
In  0.000  0.500  0.250 (multiplicity 4)
Ru  0.000  0.000  0.500 (multiplicity 2)

=====

Entry 6:
This record from Alexandria via LeMat-Bulk describes crystalline KInRu2 at its relaxed geometry. The functional is PBE.

Output
ΔE_f = 1.161 eV per atom
Magnetic moment = 2.45 μB per formula unit
Calculated total energy = -4.436 eV/atom
Density of states at the Fermi level = 1.44 states/eV/atom

Cell: 5.124 5.124 2.959 Å, 90.00 90.00 90.00°
Space group P4/mmm (No. 123)
Symmetry-distinct sites (fractional):
K  0.000  0.000  0.000 (multiplicity 1)
In  0.500  0.500  0.000 (multiplicity 1)
Ru  0.000  0.500  0.500 (multiplicity 2)

=====

Entry 7:
This record from Alexandria via LeMat-Bulk describes crystalline K4InRu at its relaxed geometry. The functional is PBE.

Output
ΔE_f = 0.981 eV per atom
Magnetic moment = 1.62 μB per formula unit
Calculated total energy = -1.753 eV/atom
Density of states at the Fermi level = 1.35 states/eV/atom

Cell: 9.716 9.716 9.716 Å, 90.00 90.00 90.00°
Space group F-43m (No. 216)
Symmetry-distinct sites (fractional):
K  0.125  0.125  0.125 (multiplicity 16)
In  0.000  0.000  0.500 (multiplicity 4)
Ru  0.250  0.250  0.750 (multiplicity 4)

=====

Entry 8:
This record from Alexandria via LeMat-Bulk describes crystalline KInRu2 at its relaxed geometry. The functional is PBE.

Output
ΔE_f = 0.464 eV per atom
Magnetic moment = 0.00 μB per formula unit
Calculated total energy = -5.133 eV/atom
Density of states at the Fermi level = 0.74 states/eV/atom

Cell: 8.241 2.903 7.886 Å, 90.00 94.96 90.00°
Space group Cm (No. 8)
Symmetry-distinct sites (fractional):
K  0.000  0.000  0.000 (multiplicity 2)
In  0.267  0.500  0.357 (multiplicity 2)
Ru  0.001  0.500  0.573 (multiplicity 2)
Ru  0.240  0.000  0.680 (multiplicity 2)